No. 1
Below is a geometry-optimized V2BPb structure, with properties calculated at the PBE-GGA level.

Properties
- Raw total energy: -6.186 eV/atom
- Crystal system: cubic
- Offset from the most stable computed form: 3.293 eV per formula unit
- V: 58 Å³/cell

a b c (Å): 4.345 4.345 4.345
angles (deg): 60.00 60.00 60.00
Fractional positions:
B 0.000 0.000 0.000
V 0.750 0.750 0.750
Pb 0.500 0.500 0.500
V 0.250 0.250 0.250


No. 2
Below is a geometry-optimized V2BPb structure, with properties calculated at the PBE-GGA level.

Properties
- Raw total energy: -6.632 eV/atom
- Crystal system: tetragonal
- Offset from the most stable computed form: 1.508 eV per formula unit
- V: 121 Å³/cell

a b c (Å): 6.648 6.648 5.445
angles (deg): 52.38 52.38 90.00
Fractional positions:
V 0.204 0.625 0.250
B 0.500 0.500 0.000
V 0.875 0.796 0.750
Pb 0.750 0.250 0.500
V 0.546 0.125 0.250
Pb 0.000 0.000 0.000
V 0.375 0.454 0.750
B 0.250 0.750 0.500


No. 3
Below is a geometry-optimized VB2Pb2 structure, with properties calculated at the PBE-GGA level.

Properties
- Raw total energy: -4.378 eV/atom
- Crystal system: tetragonal
- Offset from the most stable computed form: 2.064 eV per formula unit
- V: 186 Å³/cell

a b c (Å): 7.405 7.405 3.385
angles (deg): 90.00 90.00 90.00
Fractional positions:
Pb 0.651 0.151 0.000
B 0.349 0.151 0.500
Pb 0.151 0.349 0.000
B 0.651 0.849 0.500
V 0.500 0.500 0.000
V 0.000 0.000 0.000
B 0.151 0.651 0.500
Pb 0.349 0.849 0.000
B 0.849 0.349 0.500
Pb 0.849 0.651 0.000


No. 4
Below is a geometry-optimized VB2Pb2 structure, with properties calculated at the PBE-GGA level.

Properties
- Raw total energy: -4.791 eV/atom
- Crystal system: tetragonal
- Offset from the most stable computed form: 0.000 eV per formula unit
- V: 84 Å³/cell

a b c (Å): 2.955 2.955 9.874
angles (deg): 81.39 81.39 90.00
Fractional positions:
V 0.000 0.000 0.000
Pb 0.385 0.385 0.230
B 0.250 0.750 0.500
Pb 0.615 0.615 0.770
B 0.750 0.250 0.500


No. 5
Below is a geometry-optimized V2BPb structure, with properties calculated at the PBE-GGA level.

Properties
- Raw total energy: -7.009 eV/atom
- Crystal system: trigonal
- Offset from the most stable computed form: 0.000 eV per formula unit
- V: 69 Å³/cell

a b c (Å): 3.273 3.273 7.720
angles (deg): 77.76 77.76 60.00
Fractional positions:
B 0.500 0.500 0.500
Pb 0.000 0.000 0.000
V 0.875 0.875 0.376
V 0.125 0.125 0.624


No. 6
Below is a geometry-optimized ZrV2BPb structure, with properties calculated at the PBE-GGA level.

Properties
- Raw total energy: -5.210 eV/atom
- Crystal system: tetragonal
- V: 126 Å³/cell

a b c (Å): 4.746 5.598 4.746
angles (deg): 90.00 90.00 90.00
Fractional positions:
Pb 0.000 0.500 0.000
V 0.000 0.000 0.500
Zr 0.000 0.000 0.000
B 0.500 0.500 0.500
V 0.500 0.000 0.000


No. 7
Below is a geometry-optimized BPbW3 structure, with properties calculated at the PBE-GGA level.

Properties
- Raw total energy: -5.696 eV/atom
- Crystal system: cubic
- Offset from the most stable computed form: 17.251 eV per formula unit
- V: 125 Å³/cell

a b c (Å): 4.999 4.999 4.999
angles (deg): 90.00 90.00 90.00
Fractional positions:
Pb 0.000 0.000 0.000
W 0.000 0.500 0.000
B 0.500 0.500 0.500
W 0.500 0.000 0.000
W 0.000 0.000 0.500


No. 8
Below is a geometry-optimized B3PbW structure, with properties calculated at the PBE-GGA level.

Properties
- Raw total energy: -4.082 eV/atom
- Crystal system: cubic
- Offset from the most stable computed form: 10.838 eV per formula unit
- V: 84 Å³/cell

a b c (Å): 4.387 4.387 4.387
angles (deg): 90.00 90.00 90.00
Fractional positions:
B 0.500 0.000 0.000
Pb 0.000 0.000 0.000
B 0.000 0.500 0.000
W 0.500 0.500 0.500
B 0.000 0.000 0.500